5
Lattice="-2.597 -2.006 2.572 -0.302 -3.126 -2.742 3.416 -1.993 1.896" Properties=species:S:1:pos:R:3 comment="GGA+U TlMoNO2, optimized geometry" total_energy_ev_per_atom=-4.5806 pbc="T T T"
N 1.708 -0.996 0.948
O -0.151 -1.563 -1.371
O -1.299 -1.003 1.286
Tl 0.000 0.000 0.000
Mo 0.259 -3.562 0.863